No. 1
VASP calculation (GGA-PBE) on an optimized crystal structure of TbPu2ThN4.

Results
The uncorrected formation energy comes out at -1427 meV per atom.

Cell and atoms, written as CIF:
```
data_TbPu2ThN4
_chemical_formula_sum 'Tb1 Pu2 Th1 N4'
_symmetry_space_group_name_H-M 'P 1 2/m 1'
_symmetry_Int_Tables_number 10
_symmetry_space_group_name_Hall '-P 2y'
_cell_length_a 6.083
_cell_length_b 3.548
_cell_length_c 6.141
_cell_angle_alpha 90.00
_cell_angle_beta 109.57
_cell_angle_gamma 90.00
loop_
_atom_site_label
_atom_site_fract_x
_atom_site_fract_y
_atom_site_fract_z
Tb1 0.000 0.000 0.000
Pu1 0.500 0.000 0.500
Pu2 0.500 0.500 0.000
Th1 0.000 0.500 0.500
N1 0.260 0.000 0.758
N2 0.260 0.500 0.250
```

No. 2
VASP calculation (GGA-PBE) on an optimized crystal structure of UIr2Rh2.

Results
The formation energy comes out at 0.05 eV/atom. For the energy above the most stable polymorph in this dataset, the calculation gives 0.189 eV per atom.

Cell and atoms, written as CIF:
```
data_UIr2Rh2
_chemical_formula_sum 'U2 Ir4 Rh4'
_symmetry_space_group_name_H-M 'P 63/m m c'
_symmetry_Int_Tables_number 194
_symmetry_space_group_name_Hall '-P 6c 2c'
_cell_length_a 4.4897
_cell_length_b 4.4897
_cell_length_c 9.9439
_cell_angle_alpha 90.00
_cell_angle_beta 90.00
_cell_angle_gamma 120.00
loop_
_atom_site_label
_atom_site_fract_x
_atom_site_fract_y
_atom_site_fract_z
U1 0.0000 0.0000 0.2500
Ir1 0.3333 0.6667 0.1089
Rh1 0.0000 0.0000 0.0000
Rh2 0.3333 0.6667 0.7500
```

No. 3
VASP calculation (GGA-PBE) on an optimized crystal structure of MgPaAg2.

Results
The formation energy comes out at 0.11 eV/atom. For the energy above the most stable polymorph in this dataset, the calculation gives 0.108 eV per atom.

Cell and atoms, written as CIF:
```
data_MgPaAg2
_chemical_formula_sum 'Mg4 Pa4 Ag8'
_symmetry_space_group_name_H-M 'F m -3 m'
_symmetry_Int_Tables_number 225
_symmetry_space_group_name_Hall '-F 4 2 3'
_cell_length_a 7.033
_cell_length_b 7.033
_cell_length_c 7.033
_cell_angle_alpha 90.00
_cell_angle_beta 90.00
_cell_angle_gamma 90.00
loop_
_atom_site_label
_atom_site_fract_x
_atom_site_fract_y
_atom_site_fract_z
Mg1 0.000 0.000 0.000
Pa1 0.000 0.000 0.500
Ag1 0.250 0.250 0.250
```

No. 4
VASP calculation (GGA-PBE) on an optimized crystal structure of Li2PtSe.

Results
The uncorrected formation energy comes out at -587 meV per atom.

Cell and atoms, written as CIF:
```
data_Li2PtSe
_chemical_formula_sum 'Li4 Pt2 Se2'
_symmetry_space_group_name_H-M 'I m m 2'
_symmetry_Int_Tables_number 44
_symmetry_space_group_name_Hall 'I 2 -2'
_cell_length_a 2.924
_cell_length_b 4.304
_cell_length_c 10.592
_cell_angle_alpha 90.00
_cell_angle_beta 90.00
_cell_angle_gamma 90.00
loop_
_atom_site_label
_atom_site_fract_x
_atom_site_fract_y
_atom_site_fract_z
Li1 0.000 0.000 0.000
Li2 0.000 0.500 0.177
Pt1 0.000 0.500 0.734
Se1 0.000 0.000 0.431
```

| no. | calculated volume (A^3/atom) |
| --- | --- |
| 1 | 15.61 |
| 2 | 17.36 |
| 3 | 21.75 |
| 4 | 16.66 |